Below is Pr2Ga3SiAu4 after structural relaxation, with properties calculated at the PBE level.

a = 4.4794 Å, b = 4.4794 Å, c = 10.3193 Å
α = 90.00°, β = 90.00°, γ = 90.00°
Element x y z (fractional)
Pr  0.5000  0.0000  0.2531
Pr  0.0000  0.5000  0.7469
Ga  0.0000  0.0000  0.5000
Ga  0.5000  0.0000  0.8670
Ga  0.0000  0.5000  0.1330
Si  0.5000  0.5000  0.5000
Au  0.5000  0.5000  0.0000
Au  0.0000  0.0000  0.0000
Au  0.5000  0.0000  0.6218
Au  0.0000  0.5000  0.3782

Computed properties:
ΔE_f (raw) ... -6.2 eV/f.u.
SG ... No. 115

***

Below is PrSmGaAu after structural relaxation, with properties calculated at the PBE level.

a = 5.2607 Å, b = 5.2607 Å, c = 5.2607 Å
α = 60.00°, β = 60.00°, γ = 60.00°
Element x y z (fractional)
Pr  0.5000  0.5000  0.5000
Au  0.2500  0.2500  0.2500
Ga  0.7500  0.7500  0.7500
Sm  0.0000  0.0000  0.0000

Computed properties:
SG ... No. 216
ΔE to the lowest computed polymorph ... 40 meV per atom
ΔH_f (0 K) ... -0.6204 eV per atom

***

Below is PrSmGaAu after structural relaxation, with properties calculated at the PBE level.

a = 3.9684 Å, b = 4.6044 Å, c = 6.0779 Å
α = 90.00°, β = 109.05°, γ = 90.00°
Element x y z (fractional)
Pr  0.8573  0.5000  0.7146
Sm  0.1403  0.0000  0.2806
Ga  0.4225  0.0000  0.8450
Au  0.5799  0.5000  0.1598

Computed properties:
SG ... No. 38
ΔE to the lowest computed polymorph ... 0 meV per atom
ΔH_f (0 K) ... -0.6607 eV per atom

***

Below is PrGaSnAu after structural relaxation, with properties calculated at the PBE level.

a = 5.1226 Å, b = 5.1226 Å, c = 5.1226 Å
α = 60.00°, β = 60.00°, γ = 60.00°
Element x y z (fractional)
Pr  0.7500  0.7500  0.7500
Au  0.0000  0.0000  0.0000
Sn  0.2500  0.2500  0.2500
Ga  0.5000  0.5000  0.5000

Computed properties:
SG ... No. 216
ΔH_f (0 K) ... -0.4770 eV per atom

***

Below is Pr2GaSnAu6 after structural relaxation, with properties calculated at the PBE level.

a = 5.7641 Å, b = 9.3639 Å, c = 8.8574 Å
α = 90.00°, β = 90.00°, γ = 90.00°
Element x y z (fractional)
Pr  0.5000  0.7405  0.2440
Pr  0.0000  0.2595  0.7440
Pr  0.5000  0.7405  0.7560
Pr  0.0000  0.2595  0.2560
Ga  0.5000  0.2530  0.5000
Ga  0.0000  0.7470  0.0000
Sn  0.0000  0.7211  0.5000
Sn  0.5000  0.2789  0.0000
Au  0.5000  0.1067  0.2458
Au  0.5000  0.1067  0.7542
Au  0.0000  0.8933  0.2542
Au  0.0000  0.8933  0.7458
Au  0.2460  0.0150  0.5000
Au  0.7540  0.0150  0.5000
Au  0.2527  0.4773  0.5000
Au  0.7473  0.4773  0.5000
Au  0.7527  0.5227  0.0000
Au  0.2473  0.5227  0.0000
Au  0.2540  0.9850  0.0000
Au  0.7460  0.9850  0.0000

Computed properties:
SG ... No. 59
ΔH_f (0 K) ... -0.4716 eV per atom

***

Below is PrGa2SnAu5 after structural relaxation, with properties calculated at the PBE level.

a = 4.5544 Å, b = 4.5544 Å, c = 8.8922 Å
α = 90.00°, β = 90.00°, γ = 90.00°
Element x y z (fractional)
Pr  0.0000  0.0000  0.0000
Ga  0.5000  0.5000  0.1390
Ga  0.5000  0.5000  0.8610
Sn  0.0000  0.0000  0.5000
Au  0.0000  0.5000  0.2777
Au  0.5000  0.0000  0.2777
Au  0.0000  0.5000  0.7223
Au  0.5000  0.0000  0.7223
Au  0.5000  0.5000  0.5000

Computed properties:
SG ... No. 123
ΔH_f (0 K) ... -0.4054 eV per atom

***

Below is SrPrGaAu after structural relaxation, with properties calculated at the PBE level.

a = 5.3681 Å, b = 5.3681 Å, c = 5.3681 Å
α = 60.00°, β = 60.00°, γ = 60.00°
Element x y z (fractional)
Pr  0.0000  0.0000  0.0000
Sr  0.5000  0.5000  0.5000
Au  0.7500  0.7500  0.7500
Ga  0.2500  0.2500  0.2500

Computed properties:
SG ... No. 216
ΔH_f (0 K) ... -0.5566 eV per atom

***

Below is TbPrGaAu after structural relaxation, with properties calculated at the PBE level.

a = 3.9029 Å, b = 4.5695 Å, c = 6.0705 Å
α = 90.00°, β = 108.75°, γ = 90.00°
Element x y z (fractional)
Tb  0.1387  0.0000  0.2775
Pr  0.8553  0.5000  0.7106
Ga  0.4246  0.0000  0.8492
Au  0.5814  0.5000  0.1628

Computed properties:
SG ... No. 38
ΔE to the lowest computed polymorph ... 0 meV per atom
ΔH_f (0 K) ... -0.6750 eV per atom

***

Below is TbPrGa2Au5 after structural relaxation, with properties calculated at the PBE level.

a = 4.7210 Å, b = 4.7210 Å, c = 8.6106 Å
α = 90.00°, β = 90.00°, γ = 90.00°
Element x y z (fractional)
Tb  0.0000  0.0000  0.0000
Pr  0.0000  0.0000  0.5000
Ga  0.5000  0.5000  0.1437
Ga  0.5000  0.5000  0.8563
Au  0.0000  0.5000  0.2600
Au  0.5000  0.0000  0.2600
Au  0.0000  0.5000  0.7400
Au  0.5000  0.0000  0.7400
Au  0.5000  0.5000  0.5000

Computed properties:
SG ... No. 123
ΔH_f (0 K) ... -0.5194 eV per atom

***

Below is TbPrGaAu after structural relaxation, with properties calculated at the PBE level.

a = 5.2209 Å, b = 5.2209 Å, c = 5.2209 Å
α = 60.00°, β = 60.00°, γ = 60.00°
Element x y z (fractional)
Pr  0.5000  0.5000  0.5000
Tb  0.0000  0.0000  0.0000
Au  0.7500  0.7500  0.7500
Ga  0.2500  0.2500  0.2500

Computed properties:
SG ... No. 216
ΔE to the lowest computed polymorph ... 41 meV per atom
ΔH_f (0 K) ... -0.6338 eV per atom

***

Below is PrTlGaAu after structural relaxation, with properties calculated at the PBE level.

a = 5.1394 Å, b = 5.1394 Å, c = 5.1394 Å
α = 60.00°, β = 60.00°, γ = 60.00°
Element x y z (fractional)
Pr  0.0000  0.0000  0.0000
Tl  0.5000  0.5000  0.5000
Au  0.7500  0.7500  0.7500
Ga  0.2500  0.2500  0.2500

Computed properties:
SG ... No. 216
ΔH_f (0 K) ... -0.4252 eV per atom

***

Below is PrTmGaAu after structural relaxation, with properties calculated at the PBE level.

a = 3.8269 Å, b = 4.5356 Å, c = 6.0690 Å
α = 90.00°, β = 108.38°, γ = 90.00°
Element x y z (fractional)
Pr  0.8526  0.5000  0.7052
Tm  0.1377  0.0000  0.2754
Ga  0.4273  0.0000  0.8547
Au  0.5824  0.5000  0.1648

Computed properties:
SG ... No. 38
ΔE to the lowest computed polymorph ... 0 meV per atom
ΔH_f (0 K) ... -0.6797 eV per atom

***

Below is Pr2TmGa3Au4 after structural relaxation, with properties calculated at the PBE level.

a = 4.4199 Å, b = 4.4199 Å, c = 11.5107 Å
α = 90.00°, β = 90.00°, γ = 90.00°
Element x y z (fractional)
Pr  0.5000  0.0000  0.2198
Pr  0.0000  0.5000  0.7802
Tm  0.5000  0.5000  0.5000
Ga  0.0000  0.0000  0.5000
Ga  0.5000  0.0000  0.8739
Ga  0.0000  0.5000  0.1261
Au  0.5000  0.5000  0.0000
Au  0.0000  0.0000  0.0000
Au  0.5000  0.0000  0.6534
Au  0.0000  0.5000  0.3466

Computed properties:
SG ... No. 115
ΔH_f (0 K) ... -0.6769 eV per atom

***

Below is PrTmGa2Au4 after structural relaxation, with properties calculated at the PBE level.

a = 4.6911 Å, b = 4.6911 Å, c = 9.2481 Å
α = 75.31°, β = 75.31°, γ = 60.00°
Element x y z (fractional)
Pr  0.0000  0.0000  0.0000
Tm  0.5000  0.5000  0.5000
Ga  0.7564  0.7564  0.7309
Ga  0.2436  0.2436  0.2691
Au  0.3902  0.3902  0.8295
Au  0.8773  0.8773  0.3682
Au  0.1227  0.1227  0.6318
Au  0.6098  0.6098  0.1705

Computed properties:
SG ... No. 166
ΔH_f (0 K) ... -0.6409 eV per atom

***

Below is PrTmGaAu after structural relaxation, with properties calculated at the PBE level.

a = 5.1803 Å, b = 5.1803 Å, c = 5.1803 Å
α = 60.00°, β = 60.00°, γ = 60.00°
Element x y z (fractional)
Pr  0.5000  0.5000  0.5000
Tm  0.0000  0.0000  0.0000
Au  0.2500  0.2500  0.2500
Ga  0.7500  0.7500  0.7500

Computed properties:
SG ... No. 216
ΔE to the lowest computed polymorph ... 40 meV per atom
ΔH_f (0 K) ... -0.6400 eV per atom

***

Below is PrYGaAu after structural relaxation, with properties calculated at the PBE level.

a = 5.2172 Å, b = 5.2172 Å, c = 5.2172 Å
α = 60.00°, β = 60.00°, γ = 60.00°
Element x y z (fractional)
Pr  0.2500  0.2500  0.2500
Y  0.7500  0.7500  0.7500
Au  0.5000  0.5000  0.5000
Ga  0.0000  0.0000  0.0000

Computed properties:
SG ... No. 216
ΔE to the lowest computed polymorph ... 40 meV per atom
ΔH_f (0 K) ... -0.6479 eV per atom

***

Below is PrYGa2Au2 after structural relaxation, with properties calculated at the PBE level.

a = 4.5696 Å, b = 4.5696 Å, c = 7.3917 Å
α = 90.00°, β = 90.00°, γ = 120.00°
Element x y z (fractional)
Pr  0.0000  0.0000  0.0000
Y  0.0000  0.0000  0.5000
Ga  0.6667  0.3333  0.2681
Ga  0.3333  0.6667  0.7319
Au  0.6667  0.3333  0.7275
Au  0.3333  0.6667  0.2725

Computed properties:
SG ... No. 164
ΔH_f (0 K) ... -0.7825 eV per atom

***

Below is PrYGaAu after structural relaxation, with properties calculated at the PBE level.

a = 3.9102 Å, b = 4.5650 Å, c = 6.0564 Å
α = 90.00°, β = 108.83°, γ = 90.00°
Element x y z (fractional)
Pr  0.8552  0.5000  0.7104
Y  0.1386  0.0000  0.2772
Ga  0.4250  0.0000  0.8500
Au  0.5812  0.5000  0.1624

Computed properties:
SG ... No. 38
ΔE to the lowest computed polymorph ... 0 meV per atom
ΔH_f (0 K) ... -0.6877 eV per atom

***

Below is Pr2ZnGaAu6 after structural relaxation, with properties calculated at the PBE level.

a = 6.9027 Å, b = 7.0141 Å, c = 7.0165 Å
α = 46.24°, β = 80.73°, γ = 98.74°
Element x y z (fractional)
Pr  0.2307  0.7530  0.5202
Pr  0.7693  0.2470  0.4798
Zn  0.5000  0.5000  0.0000
Ga  0.0000  0.0000  0.0000
Au  0.2215  0.7214  0.0008
Au  0.5949  0.7477  0.1526
Au  0.2242  0.2228  0.4998
Au  0.7785  0.2786  0.9992
Au  0.4051  0.2523  0.8474
Au  0.7758  0.7772  0.5002

Computed properties:
SG ... No. 2
ΔH_f (0 K) ... -0.4737 eV per atom

***

Below is Pr2ZnGa6Au after structural relaxation, with properties calculated at the PBE level.

a = 6.4154 Å, b = 6.4154 Å, c = 12.7190 Å
α = 75.39°, β = 75.39°, γ = 60.00°
Element x y z (fractional)
Pr  0.8912  0.8912  0.3265
Pr  0.1088  0.1088  0.6735
Pr  0.7095  0.7095  0.8715
Pr  0.2905  0.2905  0.1285
Zn  0.0000  0.0000  0.0000
Zn  0.5000  0.5000  0.5000
Ga  0.9398  0.3312  0.3978
Ga  0.3312  0.9398  0.3978
Ga  0.3312  0.3312  0.3978
Ga  0.0602  0.6688  0.6022
Ga  0.6688  0.0602  0.6022
Ga  0.6688  0.6688  0.6022
Ga  0.6577  0.2275  0.8874
Ga  0.2275  0.6577  0.8874
Ga  0.2275  0.2275  0.8874
Ga  0.3423  0.7725  0.1126
Ga  0.7725  0.3423  0.1126
Ga  0.7725  0.7725  0.1126
Au  0.5708  0.5708  0.2876
Au  0.4292  0.4292  0.7124

Computed properties:
SG ... No. 166
ΔH_f (0 K) ... -0.2986 eV per atom

***

Below is Pr3ZnGa2Au6 after structural relaxation, with properties calculated at the PBE level.

a = 6.1807 Å, b = 6.1807 Å, c = 8.4533 Å
α = 90.00°, β = 90.00°, γ = 120.00°
Element x y z (fractional)
Pr  0.3333  0.6667  0.6333
Pr  0.6667  0.3333  0.3667
Pr  0.0000  0.0000  0.0000
Zn  0.0000  0.0000  0.5000
Ga  0.6667  0.3333  0.9803
Ga  0.3333  0.6667  0.0197
Au  0.6450  0.8225  0.2825
Au  0.1775  0.3550  0.2825
Au  0.1775  0.8225  0.2825
Au  0.8225  0.6450  0.7175
Au  0.3550  0.1775  0.7175
Au  0.8225  0.1775  0.7175

Computed properties:
SG ... No. 164
ΔH_f (0 K) ... -0.4926 eV per atom

***

Below is Pr2Zn4GaAu3 after structural relaxation, with properties calculated at the PBE level.

a = 4.2711 Å, b = 4.2711 Å, c = 11.2839 Å
α = 90.00°, β = 90.00°, γ = 90.00°
Element x y z (fractional)
Pr  0.5000  0.0000  0.2546
Pr  0.0000  0.5000  0.7454
Zn  0.5000  0.5000  0.0000
Zn  0.0000  0.0000  0.0000
Zn  0.5000  0.0000  0.6335
Zn  0.0000  0.5000  0.3665
Ga  0.5000  0.5000  0.5000
Au  0.0000  0.0000  0.5000
Au  0.5000  0.0000  0.8601
Au  0.0000  0.5000  0.1399

Computed properties:
SG ... No. 115
ΔH_f (0 K) ... -0.5149 eV per atom

***

Below is PrZnGaAu2 after structural relaxation, with properties calculated at the PBE level.

a = 4.1949 Å, b = 4.1949 Å, c = 6.7181 Å
α = 108.19°, β = 108.19°, γ = 90.00°
Element x y z (fractional)
Pr  0.0000  0.0000  0.0000
Zn  0.2500  0.7500  0.5000
Ga  0.7500  0.2500  0.5000
Au  0.6150  0.6150  0.2301
Au  0.3850  0.3850  0.7699

Computed properties:
SG ... No. 119
ΔH_f (0 K) ... -0.5711 eV per atom

***

Below is PrZnGaAu after structural relaxation, with properties calculated at the PBE level.

a = 4.9366 Å, b = 4.9366 Å, c = 4.9366 Å
α = 60.00°, β = 60.00°, γ = 60.00°
Element x y z (fractional)
Pr  0.7500  0.7500  0.7500
Zn  0.5000  0.5000  0.5000
Au  0.0000  0.0000  0.0000
Ga  0.2500  0.2500  0.2500

Computed properties:
SG ... No. 216
ΔH_f (0 K) ... -0.4747 eV per atom

***

Below is PrZn2GaAu after structural relaxation, with properties calculated at the PBE level.

a = 4.3770 Å, b = 4.3798 Å, c = 6.0948 Å
α = 111.06°, β = 111.04°, γ = 90.00°
Element x y z (fractional)
Pr  0.4406  0.4406  0.8813
Zn  0.6918  0.1918  0.3836
Zn  0.0596  0.0596  0.1193
Ga  0.8271  0.8271  0.6541
Au  0.1930  0.6930  0.3860

Computed properties:
SG ... No. 44
ΔH_f (0 K) ... -0.4915 eV per atom

***

Below is PrZn2GaAu2 after structural relaxation, with properties calculated at the PBE level.

a = 4.6438 Å, b = 4.6438 Å, c = 5.9294 Å
α = 90.00°, β = 90.00°, γ = 90.00°
Element x y z (fractional)
Pr  0.0000  0.0000  0.5000
Zn  0.5000  0.0000  0.0000
Zn  0.0000  0.5000  0.0000
Ga  0.0000  0.0000  0.0000
Au  0.5000  0.5000  0.7322
Au  0.5000  0.5000  0.2678

Computed properties:
SG ... No. 123
ΔH_f (0 K) ... -0.1702 eV per atom